Below is a relaxed structure of Li2MgHg, with properties calculated at the PBE-GGA level. Values from VASP.

Properties
formation energy from the elements: -0.2187 eV per atom
symmetry: P4mm
density: 5.1 g/cm³
offset from the most stable computed form: 55 meV/atom
VASP energy: -6.60 eV per cell

Quantum ESPRESSO input file:
```
&SYSTEM
  ibrav = 0, nat = 4, ntyp = 3
/
ATOMIC_SPECIES
Li 6.94 Li.upf
Mg 24.30 Mg.upf
Hg 200.59 Hg.upf
ATOMIC_POSITIONS angstrom
Li 0.0000 0.0000 0.0000
Li 1.7079 1.7079 1.6184
Mg 0.0000 0.0000 3.4414
Hg 1.7079 1.7079 5.2544
CELL_PARAMETERS angstrom
3.4158 0.0000 0.0000
0.0000 3.4158 0.0000
0.0000 0.0000 6.6781
```

Below is a relaxed structure of Tl2SiF6, with properties calculated at the PBE-GGA level. Values from VASP.

Properties
symmetry: P2_1/c
density: 5.6 g/cm³
uncorrected formation energy: -2644 meV/atom
VASP energy: -90.35 eV per cell

Quantum ESPRESSO input file:
```
&SYSTEM
  ibrav = 0, nat = 18, ntyp = 3
/
ATOMIC_SPECIES
Tl 204.38 Tl.upf
Si 28.09 Si.upf
F 19.00 F.upf
ATOMIC_POSITIONS angstrom
Tl -0.0833 0.5217 2.2594
Tl -2.0506 3.3128 5.9533
Tl 3.8846 4.3561 1.4345
Tl 1.9173 7.1472 5.1283
Si 2.8843 0.0000 0.0000
Si 0.9170 3.8344 3.6939
F -2.5739 0.8323 7.3462
F -0.6066 3.0021 3.6523
F 0.1146 5.3057 3.2975
F -1.8527 6.1976 6.9914
F -0.8448 0.3369 5.7187
F 1.1225 3.4975 2.0248
F 0.7115 4.1714 5.3629
F 2.6788 7.3319 1.6690
F 3.6867 1.4713 0.3963
F 1.7194 2.3632 4.0902
F 2.4405 4.6667 3.7354
F 4.4078 6.8366 0.0416
CELL_PARAMETERS angstrom
5.7686 0.0000 0.0000
0.0000 7.6689 0.0000
-3.9346 0.0000 7.3877
```

Below is a relaxed structure of Co2PPt, with properties calculated at the PBE-GGA level. Values from VASP.

Properties
formation energy from the elements: -0.1163 eV per atom
symmetry: Imm2
density: 11.5 g/cm³
VASP energy: -52.26 eV per cell

Quantum ESPRESSO input file:
```
&SYSTEM
  ibrav = 0, nat = 8, ntyp = 3
/
ATOMIC_SPECIES
Co 58.93 Co.upf
P 30.97 P.upf
Pt 195.08 Pt.upf
ATOMIC_POSITIONS angstrom
Co 0.0000 0.0000 0.0000
Co 0.0000 1.9946 1.6454
Co 1.4987 0.0000 5.8052
Co 1.4987 1.9946 4.1597
P 0.0000 0.0000 4.2047
P 1.4987 1.9946 0.0450
Pt 0.0000 1.9946 6.4935
Pt 1.4987 0.0000 2.3338
CELL_PARAMETERS angstrom
2.9973 0.0000 0.0000
0.0000 3.9892 0.0000
0.0000 0.0000 8.3195
```